NaAlSi | meta-GGA SCAN | single point on PBEsol structure

Cell and atoms, written as CIF:
```
data_NaAlSi
_space_group_name_H-M_alt 'P 4/n m m'
_space_group_IT_number 129
_cell_length_a 4.106
_cell_length_b 4.106
_cell_length_c 7.298
_cell_angle_alpha 90.00
_cell_angle_beta 90.00
_cell_angle_gamma 90.00
loop_
_space_group_symop_operation_xyz
'x,y,z'
'-x,-y,-z'
'-y+1/2,x,z'
'y+1/2,-x,-z'
'-x+1/2,-y+1/2,z'
'x+1/2,y+1/2,-z'
'y,-x+1/2,z'
'-y,x+1/2,-z'
'x+1/2,-y,-z'
'-x+1/2,y,z'
'-y,-x,-z'
'y,x,z'
'-x,y+1/2,-z'
'x,-y+1/2,z'
'y+1/2,x+1/2,-z'
'-y+1/2,-x+1/2,z'
loop_
_atom_site_label
_atom_site_type_symbol
_atom_site_fract_x
_atom_site_fract_y
_atom_site_fract_z
Na1 Na 0.250 0.250 0.136
Al1 Al 0.250 0.750 0.500
Si1 Si 0.250 0.250 0.710
```

- volume (Å³/cell) = 123.0
- energy relative to the elements, uncorrected (eV per formula unit) = -0.4
- size of the total moment (μB/f.u.) = 0.0



Na2SrAl2 | meta-GGA SCAN | single point on PBEsol structure

Cell and atoms, written as CIF:
```
data_Na2SrAl2
_space_group_name_H-M_alt 'I 4/m m m'
_space_group_IT_number 139
_space_group_name_Hall '-I 4 2'
_cell_length_a 4.513
_cell_length_b 4.513
_cell_length_c 14.314
_cell_angle_alpha 90.00
_cell_angle_beta 90.00
_cell_angle_gamma 90.00
loop_
_atom_site_label
_atom_site_type_symbol
_atom_site_fract_x
_atom_site_fract_y
_atom_site_fract_z
Na1 Na 0.000 0.500 0.250
Sr1 Sr 0.000 0.000 0.000
Al1 Al 0.000 0.000 0.409
```

- energy of formation from the pure elements (meV/atom) = 89.5
- volume (Å³/cell) = 291.5
- size of the total moment (μB/f.u.) = 0.0



NaAlTc2 | meta-GGA SCAN | single point on PBEsol structure

Cell and atoms, written as CIF:
```
data_NaAlTc2
_space_group_name_H-M_alt 'I -4 2 d'
_space_group_IT_number 122
_space_group_name_Hall 'I -4 2bw'
_cell_length_a 3.807
_cell_length_b 3.807
_cell_length_c 19.097
_cell_angle_alpha 90.00
_cell_angle_beta 90.00
_cell_angle_gamma 90.00
loop_
_atom_site_label
_atom_site_type_symbol
_atom_site_fract_x
_atom_site_fract_y
_atom_site_fract_z
Na1 Na 0.000 0.000 0.000
Al1 Al 0.000 0.000 0.500
Tc1 Tc 0.182 0.250 0.625
```

- energy of formation from the pure elements (meV/atom) = 743.6
- volume (Å³/cell) = 276.8
- size of the total moment (μB/f.u.) = 0.0



Na3AlTe3 | meta-GGA SCAN | single point on PBEsol structure

Cell and atoms, written as CIF:
```
data_Na3AlTe3
_space_group_name_H-M_alt 'P 1 21/c 1'
_space_group_IT_number 14
_cell_length_a 7.977
_cell_length_b 7.684
_cell_length_c 16.044
_cell_angle_alpha 90.00
_cell_angle_beta 119.11
_cell_angle_gamma 90.00
loop_
_space_group_symop_operation_xyz
'x,y,z'
'-x,-y,-z'
'-x,y+1/2,-z+1/2'
'x,-y+1/2,z+1/2'
loop_
_atom_site_label
_atom_site_type_symbol
_atom_site_fract_x
_atom_site_fract_y
_atom_site_fract_z
Na1 Na 0.052 0.017 0.276
Na2 Na 0.278 0.501 0.605
Na3 Na 0.324 0.003 0.598
Al1 Al 0.334 0.639 0.418
Te1 Te 0.041 0.740 0.926
Te2 Te 0.343 0.209 0.926
Te3 Te 0.343 0.737 0.266
```

- volume (Å³/cell) = 859.2
- energy relative to the elements, uncorrected (eV per formula unit) = -6.4
- size of the total moment (μB/f.u.) = 0.0